# Ac2InRh4Pb3 PBE-GGA optimized geometry
# * energy relative to the elements: -0.432 eV/atom
# * calculated density: 11040 kg/m³
# * calculated volume: 24.10 Å³ per atom
# * final energy: -55.81 eV/f.u.
data_Ac2InRh4Pb3
_space_group_name_H-M_alt 'P -4 m 2'
_space_group_IT_number 115
_cell_length_a 4.5913
_cell_length_b 4.5913
_cell_length_c 11.4310
_cell_angle_alpha 90.00
_cell_angle_beta 90.00
_cell_angle_gamma 90.00
loop_
_space_group_symop_operation_xyz
'x,y,z'
'y,-x,-z'
'-x,-y,z'
'-y,x,-z'
'-x,y,z'
'-y,-x,-z'
'x,-y,z'
'y,x,-z'
loop_
_atom_site_label
_atom_site_type_symbol
_atom_site_fract_x
_atom_site_fract_y
_atom_site_fract_z
Ac1 Ac 0.0000 0.5000 0.2495
In1 In 0.0000 0.0000 0.5000
Rh1 Rh 0.0000 0.0000 0.0000
Rh2 Rh 0.0000 0.5000 0.6356
Rh3 Rh 0.5000 0.5000 0.0000
Pb1 Pb 0.0000 0.5000 0.8725
Pb2 Pb 0.5000 0.5000 0.5000